Entry 1:
## Ni3IrPt (PBE-GGA)

Data for Ni3IrPt after structural relaxation.

Results
As for the energy above the most stable polymorph in this dataset: 0.0 meV/atom. For the total energy, the calculation gives -6.461 eV per atom. For the formation energy, the calculation gives -0.06 eV/f.u. The space-group type is P2_1/c. As for the crystal system: monoclinic.

Unit cell a=6.421 b=5.224 c=8.658 alpha=90.00 beta=118.76 gamma=90.00
Element x y z (fractional)
Ni: 0.001 0.126 0.251
Ni: 0.001 0.374 0.751
Ni: 0.190 0.121 0.046
Ni: 0.190 0.379 0.546
Ni: 0.396 0.625 0.849
Ni: 0.396 0.875 0.349
Ni: 0.604 0.125 0.651
Ni: 0.604 0.375 0.151
Ni: 0.810 0.621 0.454
Ni: 0.810 0.879 0.954
Ni: 0.999 0.626 0.249
Ni: 0.999 0.874 0.749
Ir: 0.193 0.627 0.042
Ir: 0.193 0.873 0.542
Ir: 0.807 0.127 0.458
Ir: 0.807 0.373 0.958
Pt: 0.394 0.128 0.845
Pt: 0.394 0.372 0.345
Pt: 0.606 0.628 0.655
Pt: 0.606 0.872 0.155

***

Entry 2:
## Ce2DyRe (PBE-GGA)

Data for Ce2DyRe after structural relaxation.

Results
For the total energy, the calculation gives -6.911 eV per atom. For the formation energy, the calculation gives 1.27 eV/f.u. The space-group type is R-3m. As for the crystal system: trigonal.

Unit cell a=9.175 b=9.175 c=9.175 alpha=24.32 beta=24.32 gamma=24.32
Element x y z (fractional)
Ce: 0.227 0.227 0.227
Ce: 0.773 0.773 0.773
Dy: 0.000 0.000 0.000
Re: 0.500 0.500 0.500

***

Entry 3:
## Cs2PIrBr6 (PBE-GGA)

Data for Cs2PIrBr6 after structural relaxation.

Results
For the total energy, the calculation gives -3.239 eV per atom. The space-group type is I4/mmm. The value obtained for the formation energy without anion corrections is -0.638 eV per atom. As for the crystal system: tetragonal.

Unit cell a=7.562 b=7.562 c=7.562 alpha=120.35 beta=120.35 gamma=89.40
Element x y z (fractional)
Cs: 0.250 0.750 0.500
Cs: 0.750 0.250 0.500
P: 0.000 0.000 0.000
Ir: 0.500 0.500 0.000
Br: 0.256 0.256 0.512
Br: 0.256 0.744 0.000
Br: 0.259 0.259 0.000
Br: 0.741 0.741 0.000
Br: 0.744 0.256 0.000
Br: 0.744 0.744 0.488

***

Entry 4:
## SrSeBr (PBE-GGA)

Data for SrSeBr after structural relaxation.

Results
For the total energy, the calculation gives -3.924 eV per atom. The space-group type is C2/m. The value obtained for the formation energy without anion corrections is -1.645 eV per atom. As for the crystal system: monoclinic.

Unit cell a=5.050 b=5.050 c=9.892 alpha=91.77 beta=91.77 gamma=57.04
Element x y z (fractional)
Sr: 0.154 0.154 0.255
Sr: 0.846 0.846 0.745
Se: 0.476 0.476 0.119
Se: 0.524 0.524 0.881
Br: 0.165 0.165 0.615
Br: 0.835 0.835 0.385

***

Entry 5:
## DyHoZnCd (PBE-GGA)

Data for DyHoZnCd after structural relaxation.

Results
As for the energy above the most stable polymorph in this dataset: 0.0 meV/atom. For the total energy, the calculation gives -3.175 eV per atom. For the formation energy, the calculation gives -1.33 eV/f.u. The space-group type is P4mm. As for the crystal system: tetragonal.

Unit cell a=3.585 b=3.585 c=7.545 alpha=90.00 beta=90.00 gamma=90.00
Element x y z (fractional)
Dy: 0.000 0.000 0.000
Ho: 0.000 0.000 0.460
Zn: 0.500 0.500 0.232
Cd: 0.500 0.500 0.728

***

Entry 6:
## TlSe5 (PBE-GGA)

Data for TlSe5 after structural relaxation.

Results
As for the energy above the most stable polymorph in this dataset: 479.7 meV/atom. For the total energy, the calculation gives -2.846 eV per atom. The space-group type is F-43m. The value obtained for the formation energy without anion corrections is 0.452 eV per atom. As for the crystal system: cubic.

Unit cell a=5.869 b=5.869 c=5.869 alpha=60.00 beta=60.00 gamma=60.00
Element x y z (fractional)
Tl: 0.000 0.000 0.000
Se: 0.381 0.381 0.381
Se: 0.381 0.381 0.858
Se: 0.381 0.858 0.381
Se: 0.750 0.750 0.750
Se: 0.858 0.381 0.381

***

Entry 7:
## Pm5Ge2Pt (PBE-GGA)

Data for Pm5Ge2Pt after structural relaxation.

Results
For the total energy, the calculation gives -5.607 eV per atom. For the formation energy, the calculation gives -5.83 eV/f.u. The space-group type is I4/mcm. As for the crystal system: tetragonal.

Unit cell a=9.104 b=9.104 c=9.104 alpha=130.42 beta=130.42 gamma=72.74
Element x y z (fractional)
Pm: 0.000 0.000 0.000
Pm: 0.028 0.528 0.848
Pm: 0.179 0.028 0.500
Pm: 0.321 0.821 0.848
Pm: 0.472 0.321 0.500
Pm: 0.500 0.500 0.000
Pm: 0.528 0.679 0.500
Pm: 0.679 0.179 0.152
Pm: 0.821 0.972 0.500
Pm: 0.972 0.472 0.152
Ge: 0.124 0.376 0.500
Ge: 0.376 0.876 0.253
Ge: 0.624 0.124 0.747
Ge: 0.876 0.624 0.500
Pt: 0.250 0.250 0.000
Pt: 0.750 0.750 0.000

***

Entry 8:
## NaGeBiS3 (PBE-GGA)

Data for NaGeBiS3 after structural relaxation.

Results
For the total energy, the calculation gives -4.245 eV per atom. The space-group type is P2_1/m. The value obtained for the formation energy without anion corrections is -0.545 eV per atom. As for the crystal system: monoclinic.

Unit cell a=7.312 b=3.894 c=11.865 alpha=90.00 beta=107.01 gamma=90.00
Element x y z (fractional)
Na: 0.223 0.250 0.247
Na: 0.777 0.750 0.753
Ge: 0.148 0.250 0.569
Ge: 0.852 0.750 0.431
Bi: 0.354 0.750 0.849
Bi: 0.646 0.250 0.151
S: 0.056 0.250 0.744
S: 0.367 0.750 0.101
S: 0.376 0.750 0.621
S: 0.624 0.250 0.379
S: 0.633 0.250 0.899
S: 0.944 0.750 0.256

***

Entry 9:
## RbY2HF (PBE-GGA)

Data for RbY2HF after structural relaxation.

Results
For the total energy, the calculation gives -2.912 eV per atom. The space-group type is P4/mmm. As for the crystal system: tetragonal.

Unit cell a=6.270 b=6.270 c=4.114 alpha=90.00 beta=90.00 gamma=90.00
Element x y z (fractional)
Rb: 0.000 0.000 0.000
Y: 0.000 0.500 0.000
Y: 0.500 0.000 0.000
H: 0.000 0.000 0.500
F: 0.500 0.500 0.500

***

Entry 10:
## TmCdCu2 (PBE-GGA)

Data for TmCdCu2 after structural relaxation.

Results
For the total energy, the calculation gives -3.515 eV per atom. For the formation energy, the calculation gives -0.48 eV/f.u. The space-group type is P4/mmm. As for the crystal system: tetragonal.

Unit cell a=3.356 b=3.356 c=6.498 alpha=90.00 beta=90.00 gamma=90.00
Element x y z (fractional)
Tm: 0.000 0.000 0.000
Cd: 0.000 0.000 0.500
Cu: 0.500 0.500 0.261
Cu: 0.500 0.500 0.739

***

Entry 11:
## YSc2Rh2 (PBE-GGA)

Data for YSc2Rh2 after structural relaxation.

Results
As for the energy above the most stable polymorph in this dataset: 3.4 meV/atom. For the total energy, the calculation gives -7.484 eV per atom. For the formation energy, the calculation gives -3.59 eV/f.u. The space-group type is I4/mmm. As for the crystal system: tetragonal.

Unit cell a=6.629 b=6.629 c=6.629 alpha=142.78 beta=142.78 gamma=53.65
Element x y z (fractional)
Y: 0.000 0.000 0.000
Sc: 0.250 0.750 0.500
Sc: 0.750 0.250 0.500
Rh: 0.390 0.390 0.000
Rh: 0.610 0.610 0.000

***

Entry 12:
## TbPmYEr (PBE-GGA)

Data for TbPmYEr after structural relaxation.

Results
As for the energy above the most stable polymorph in this dataset: 108.9 meV/atom. For the total energy, the calculation gives -4.978 eV per atom. For the formation energy, the calculation gives 0.50 eV/f.u. The space-group type is F-43m. As for the crystal system: cubic.

Unit cell a=5.697 b=5.697 c=5.697 alpha=60.00 beta=60.00 gamma=60.00
Element x y z (fractional)
Tb: 0.000 0.000 0.000
Pm: 0.500 0.500 0.500
Y: 0.750 0.750 0.750
Er: 0.250 0.250 0.250